Tl2MoRu | PBE | relaxed

POSCAR file:
```
Tl2MoRu
1.0
-1.481 2.392 5.757
1.481 -2.392 5.757
1.481 2.392 -5.757
Tl Mo Ru
2 1 1
Direct
0.000 0.000 0.000
0.710 0.210 0.500
0.281 0.781 0.500
0.463 0.463 0.000
```

- Space-group type: No. 44
- ρ: 12.33 g cm⁻³
- DFT formation energy: 659 meV per atom

=====

HoMgTlCl6 | PBE | relaxed

POSCAR file:
```
HoMgTlCl6
1.0
6.774 0.000 0.000
-3.387 5.866 0.000
0.000 0.000 14.178
Ho Mg Tl Cl
2 2 2 12
Direct
0.333 0.667 0.250
0.667 0.333 0.750
0.333 0.667 0.750
0.667 0.333 0.250
0.000 0.000 0.000
0.000 0.000 0.500
0.012 0.380 0.646
0.012 0.632 0.854
0.368 0.380 0.854
0.368 0.988 0.646
0.380 0.012 0.146
0.380 0.368 0.354
0.620 0.632 0.646
0.620 0.988 0.854
0.632 0.012 0.354
0.632 0.620 0.146
0.988 0.368 0.146
0.988 0.620 0.354
```

- Space-group type: No. 163
- ΔE_f (raw): -181.7 kJ per mole of atoms
- ρ: 3.57 g cm⁻³

=====

Pa2WSe | PBE | relaxed

POSCAR file:
```
Pa2WSe
1.0
1.635 0.944 9.725
-1.635 0.944 9.725
0.000 -1.888 9.725
Pa W Se
2 1 1
Direct
0.089 0.089 0.089
0.911 0.911 0.911
0.000 0.000 0.000
0.500 0.500 0.500
```

- Space-group type: No. 166
- ΔE_f (raw): 20.7 kJ per mole of atoms
- ρ: 13.36 g cm⁻³

=====

Cs4Pu3InBr12 | PBE | relaxed

POSCAR file:
```
Cs4Pu3InBr12
1.0
-5.978 5.978 5.978
5.978 -5.978 5.978
5.978 5.978 -5.978
Cs Pu In Br
4 3 1 12
Direct
0.000 0.000 0.500
0.000 0.500 0.000
0.500 0.000 0.000
0.500 0.500 0.500
0.000 0.500 0.500
0.500 0.000 0.500
0.500 0.500 0.000
0.000 0.000 0.000
0.000 0.260 0.260
0.000 0.740 0.740
0.250 0.500 0.750
0.250 0.750 0.500
0.260 0.000 0.260
0.260 0.260 0.000
0.500 0.250 0.750
0.500 0.750 0.250
0.740 0.000 0.740
0.740 0.740 0.000
0.750 0.250 0.500
0.750 0.500 0.250
```

- Space-group type: No. 229
- ΔE_f (raw): -148.6 kJ per mole of atoms
- ρ: 4.54 g cm⁻³

=====

CaMgNiHg | PBE | relaxed

POSCAR file:
```
CaMgNiHg
1.0
0.000 3.441 3.441
3.441 0.000 3.441
3.441 3.441 0.000
Ca Mg Ni Hg
1 1 1 1
Direct
0.000 0.000 0.000
0.750 0.750 0.750
0.500 0.500 0.500
0.250 0.250 0.250
```

- Space-group type: No. 216
- ρ: 6.60 g cm⁻³
- DFT formation energy: -31 meV per atom

=====

In2Si6Ni21 | PBE | relaxed

POSCAR file:
```
In2Si6Ni21
1.0
0.000 5.618 5.618
5.618 0.000 5.618
5.618 5.618 0.000
In Si Ni
2 6 21
Direct
0.250 0.250 0.250
0.750 0.750 0.750
0.232 0.232 0.768
0.232 0.768 0.232
0.232 0.768 0.768
0.768 0.232 0.232
0.768 0.232 0.768
0.768 0.768 0.232
0.118 0.118 0.118
0.118 0.118 0.646
0.118 0.646 0.118
0.153 0.500 0.500
0.153 0.500 0.847
0.153 0.847 0.500
0.354 0.882 0.882
0.500 0.153 0.500
0.500 0.153 0.847
0.500 0.500 0.153
0.500 0.500 0.500
0.500 0.500 0.847
0.500 0.847 0.153
0.500 0.847 0.500
0.646 0.118 0.118
0.847 0.153 0.500
0.847 0.500 0.153
0.847 0.500 0.500
0.882 0.354 0.882
0.882 0.882 0.354
0.882 0.882 0.882
```

- Space-group type: No. 225
- ΔE_f (raw): -28.0 kJ per mole of atoms
- ρ: 7.64 g cm⁻³

=====

| no. | energy (eV per atom) |
| --- | --- |
| 1 | -5.5512 |
| 2 | -4.0631 |
| 3 | -8.6431 |
| 4 | -5.0012 |
| 5 | -2.4506 |
| 6 | -5.7877 |